Er2BeGe2 PBE relaxed; VASP energy = -5.0353 eV per atom; density of states at the Fermi level = 1.5 states/eV/cell; energy relative to the elements = -0.618 eV/atom; V = 210 Å³/cell
1.0
2.030 -7.561 0.000
2.030 7.561 0.000
0.000 0.000 6.848
Er Be Ge
4 2 4
Direct
0.025 0.975 0.500
0.212 0.788 0.821
0.788 0.212 0.321
0.975 0.025 0.000
0.408 0.592 0.652
0.592 0.408 0.152
0.163 0.837 0.227
0.431 0.569 0.287
0.569 0.431 0.787
0.837 0.163 0.727


Er2BeGe PBE relaxed; VASP energy = -3.8847 eV per atom; density of states at the Fermi level = 15.9 states/eV/cell; energy relative to the elements = 0.483 eV/atom; V = 381 Å³/cell
1.0
4.069 0.000 0.000
-2.034 3.524 0.000
0.000 0.000 26.572
Er Be Ge
6 3 3
Direct
0.000 0.000 0.109
0.000 0.000 0.891
0.333 0.667 0.557
0.333 0.667 0.776
0.667 0.333 0.224
0.667 0.333 0.443
0.000 0.000 0.000
0.333 0.667 0.667
0.667 0.333 0.333
0.000 0.000 0.500
0.333 0.667 0.167
0.667 0.333 0.833


Er2BeNi4Ge3 PBE relaxed; VASP energy = -5.6109 eV per atom; density of states at the Fermi level = 6.5 states/eV/cell; energy relative to the elements = -0.628 eV/atom; V = 152 Å³/cell
1.0
3.967 0.000 0.000
0.000 3.967 0.000
0.000 0.000 9.685
Er Be Ni Ge
2 1 4 3
Direct
0.000 0.500 0.242
0.500 0.000 0.758
0.500 0.500 0.000
0.000 0.000 0.500
0.000 0.500 0.876
0.500 0.000 0.124
0.500 0.500 0.500
0.000 0.000 0.000
0.000 0.500 0.637
0.500 0.000 0.363


Er2Be4Ge3Os PBE relaxed; VASP energy = -5.2766 eV per atom; density of states at the Fermi level = 3.0 states/eV/cell; energy relative to the elements = -0.365 eV/atom; V = 148 Å³/cell
1.0
3.842 0.000 0.000
0.000 3.842 0.000
0.000 0.000 10.046
Er Be Ge Os
2 4 3 1
Direct
0.000 0.500 0.248
0.500 0.000 0.752
0.000 0.000 0.500
0.000 0.500 0.865
0.500 0.000 0.135
0.500 0.500 0.500
0.000 0.000 0.000
0.000 0.500 0.635
0.500 0.000 0.365
0.500 0.500 0.000


ErBe2GePd2 PBE relaxed; VASP energy = -4.7146 eV per atom; density of states at the Fermi level = 1.7 states/eV/cell; energy relative to the elements = -0.212 eV/atom; V = 97 Å³/cell
1.0
4.156 0.000 0.000
0.000 4.156 0.000
0.000 0.000 5.615
Er Be Ge Pd
1 2 1 2
Direct
0.000 0.000 0.000
0.000 0.500 0.500
0.500 0.000 0.500
0.000 0.000 0.500
0.500 0.500 0.247
0.500 0.500 0.753


Er2BeGe4Pd3 PBE relaxed; VASP energy = -5.3460 eV per atom; density of states at the Fermi level = 4.2 states/eV/cell; energy relative to the elements = -0.656 eV/atom; V = 178 Å³/cell
1.0
3.977 0.000 0.000
0.000 3.977 0.000
0.000 0.000 11.245
Er Be Ge Pd
2 1 4 3
Direct
0.000 0.500 0.231
0.500 0.000 0.769
0.500 0.500 0.000
0.000 0.000 0.500
0.000 0.500 0.867
0.500 0.000 0.133
0.500 0.500 0.500
0.000 0.000 0.000
0.000 0.500 0.648
0.500 0.000 0.352


Er2BeGe3Pt4 PBE relaxed; VASP energy = -5.9517 eV per atom; density of states at the Fermi level = 4.8 states/eV/cell; energy relative to the elements = -0.865 eV/atom; V = 178 Å³/cell
1.0
4.166 0.000 0.000
0.000 4.166 0.000
0.000 0.000 10.267
Er Be Ge Pt
2 1 3 4
Direct
0.000 0.500 0.236
0.500 0.000 0.764
0.500 0.500 0.000
0.000 0.000 0.000
0.000 0.500 0.641
0.500 0.000 0.359
0.000 0.000 0.500
0.000 0.500 0.875
0.500 0.000 0.125
0.500 0.500 0.500


Er3Be2GePt9 PBE relaxed; VASP energy = -6.1737 eV per atom; density of states at the Fermi level = 3.6 states/eV/cell; energy relative to the elements = -0.832 eV/atom; V = 266 Å³/cell
1.0
5.722 0.000 0.000
-2.861 4.956 0.000
0.000 0.000 9.395
Er Be Ge Pt
3 2 1 9
Direct
0.000 0.000 0.000
0.333 0.667 0.604
0.667 0.333 0.396
0.333 0.667 0.151
0.667 0.333 0.849
0.000 0.000 0.500
0.000 0.500 0.000
0.165 0.330 0.301
0.165 0.835 0.301
0.330 0.165 0.699
0.500 0.000 0.000
0.500 0.500 0.000
0.670 0.835 0.301
0.835 0.165 0.699
0.835 0.670 0.699


Er2Be4GePt3 PBE relaxed; VASP energy = -5.4435 eV per atom; density of states at the Fermi level = 6.6 states/eV/cell; energy relative to the elements = -0.766 eV/atom; V = 152 Å³/cell
1.0
3.916 0.000 0.000
0.000 3.916 0.000
0.000 0.000 9.921
Er Be Ge Pt
2 4 1 3
Direct
0.000 0.500 0.247
0.500 0.000 0.753
0.000 0.000 0.000
0.000 0.500 0.641
0.500 0.000 0.359
0.500 0.500 0.000
0.000 0.000 0.500
0.000 0.500 0.876
0.500 0.000 0.124
0.500 0.500 0.500


Er2BeGeRh6 PBE relaxed; VASP energy = -6.6638 eV per atom; density of states at the Fermi level = 8.7 states/eV/cell; energy relative to the elements = -0.506 eV/atom; V = 169 Å³/cell
1.0
0.000 4.389 4.389
4.389 0.000 4.389
4.389 4.389 0.000
Er Be Ge Rh
2 1 1 6
Direct
0.250 0.250 0.250
0.750 0.750 0.750
0.000 0.000 0.000
0.500 0.500 0.500
0.237 0.237 0.763
0.237 0.763 0.237
0.237 0.763 0.763
0.763 0.237 0.237
0.763 0.237 0.763
0.763 0.763 0.237


Er2Be2GeRh5 PBE relaxed; VASP energy = -6.6355 eV per atom; density of states at the Fermi level = 8.2 states/eV/cell; energy relative to the elements = -0.840 eV/atom; V = 294 Å³/cell
1.0
9.610 0.000 0.000
0.000 9.610 0.000
0.000 0.000 3.183
Er Be Ge Rh
4 4 2 10
Direct
0.176 0.324 0.000
0.324 0.824 0.000
0.676 0.176 0.000
0.824 0.676 0.000
0.121 0.621 0.000
0.379 0.121 0.000
0.621 0.879 0.000
0.879 0.379 0.000
0.000 0.000 0.000
0.500 0.500 0.000
0.000 0.500 0.500
0.067 0.791 0.500
0.209 0.067 0.500
0.291 0.567 0.500
0.433 0.291 0.500
0.500 0.000 0.500
0.567 0.709 0.500
0.709 0.433 0.500
0.791 0.933 0.500
0.933 0.209 0.500


Er2Be4Ge3Ru PBE relaxed; VASP energy = -5.1297 eV per atom; density of states at the Fermi level = 3.0 states/eV/cell; energy relative to the elements = -0.414 eV/atom; V = 148 Å³/cell
1.0
3.837 0.000 0.000
0.000 3.837 0.000
0.000 0.000 10.040
Er Be Ge Ru
2 4 3 1
Direct
0.000 0.500 0.248
0.500 0.000 0.752
0.000 0.000 0.500
0.000 0.500 0.865
0.500 0.000 0.135
0.500 0.500 0.500
0.000 0.000 0.000
0.000 0.500 0.635
0.500 0.000 0.365
0.500 0.500 0.000


ErBe2TcGe2 PBE relaxed; VASP energy = -5.5902 eV per atom; density of states at the Fermi level = 3.4 states/eV/cell; energy relative to the elements = -0.321 eV/atom; V = 89 Å³/cell
1.0
3.982 0.000 0.000
-1.991 3.448 0.000
0.000 0.000 6.519
Er Be Tc Ge
1 2 1 2
Direct
0.000 0.000 0.000
0.333 0.667 0.353
0.667 0.333 0.647
0.000 0.000 0.500
0.333 0.667 0.729
0.667 0.333 0.271


ErBe2H6 PBE relaxed; VASP energy = -2.7034 eV per atom; density of states at the Fermi level = 3.8 states/eV/cell; V = 78 Å³/cell
1.0
0.000 3.386 3.386
3.386 0.000 3.386
3.386 3.386 0.000
Er Be H
1 2 6
Direct
0.000 0.000 0.000
0.250 0.250 0.250
0.750 0.750 0.750
0.296 0.296 0.704
0.296 0.704 0.296
0.296 0.704 0.704
0.704 0.296 0.296
0.704 0.296 0.704
0.704 0.704 0.296


ErBeH PBE relaxed; VASP energy = -4.1583 eV per atom; density of states at the Fermi level = 4.1 states/eV/cell; V = 159 Å³/cell
1.0
6.839 0.000 0.000
0.000 3.953 0.000
-2.280 0.000 5.891
Er Be H
4 4 4
Direct
0.095 0.000 0.282
0.405 0.500 0.718
0.595 0.500 0.282
0.905 0.000 0.718
0.174 0.500 0.022
0.326 0.000 0.978
0.674 0.000 0.022
0.826 0.500 0.978
0.233 0.000 0.700
0.267 0.500 0.300
0.733 0.500 0.700
0.767 0.000 0.300


Er2BeHPd6 PBE relaxed; VASP energy = -5.4972 eV per atom; density of states at the Fermi level = 1.5 states/eV/cell; V = 153 Å³/cell
1.0
5.047 -2.898 0.000
5.047 2.898 0.000
-3.376 0.000 5.244
Er Be H Pd
2 1 1 6
Direct
0.239 0.239 0.220
0.761 0.761 0.780
0.500 0.500 0.000
0.000 0.000 0.500
0.240 0.240 0.723
0.240 0.745 0.723
0.255 0.760 0.277
0.745 0.240 0.723
0.760 0.255 0.277
0.760 0.760 0.277


Er2BeHPt6 PBE relaxed; VASP energy = -6.1162 eV per atom; density of states at the Fermi level = 3.3 states/eV/cell; V = 157 Å³/cell
1.0
5.692 0.000 0.000
2.843 4.941 0.000
2.805 1.653 5.580
Er Be H Pt
2 1 1 6
Direct
0.226 0.226 0.323
0.774 0.774 0.677
0.500 0.500 0.500
0.000 0.000 0.000
0.239 0.238 0.790
0.239 0.732 0.790
0.266 0.762 0.211
0.734 0.238 0.789
0.761 0.268 0.210
0.761 0.762 0.210


ErHfBe2 PBE relaxed; VASP energy = -5.4166 eV per atom; density of states at the Fermi level = 17.3 states/eV/cell; energy relative to the elements = 0.076 eV/atom; offset from the most stable computed form = 78 meV/atom; V = 272 Å³/cell
1.0
6.480 0.000 0.000
0.000 6.480 0.000
0.000 0.000 6.480
Er Hf Be
4 4 8
Direct
0.000 0.000 0.000
0.000 0.500 0.500
0.500 0.000 0.500
0.500 0.500 0.000
0.000 0.000 0.500
0.000 0.500 0.000
0.500 0.000 0.000
0.500 0.500 0.500
0.250 0.250 0.250
0.250 0.250 0.750
0.250 0.750 0.250
0.250 0.750 0.750
0.750 0.250 0.250
0.750 0.250 0.750
0.750 0.750 0.250
0.750 0.750 0.750


ErHfBe2 PBE relaxed; VASP energy = -5.4951 eV per atom; density of states at the Fermi level = 1.8 states/eV/cell; energy relative to the elements = -0.003 eV/atom; offset from the most stable computed form = 0 meV/atom; V = 68 Å³/cell
1.0
3.244 0.000 0.000
0.000 3.244 0.000
0.000 0.000 6.473
Er Hf Be
1 1 2
Direct
0.000 0.000 0.000
0.000 0.000 0.500
0.500 0.500 0.285
0.500 0.500 0.715


Er2HfBe PBE relaxed; VASP energy = -5.5801 eV per atom; density of states at the Fermi level = 4.4 states/eV/cell; energy relative to the elements = 0.121 eV/atom; V = 90 Å³/cell
1.0
3.322 0.000 0.000
0.000 3.322 0.000
0.000 0.000 8.157
Er Hf Be
2 1 1
Direct
0.000 0.000 0.213
0.000 0.000 0.787
0.500 0.500 0.500
0.500 0.500 0.000